Entry 1:
{"formula": "Tb4InAg2Pd", "functional": "GGA-PBE", "state": "optimized geometry", "cell": [[2.585, 1.492, 8.407], [-2.585, 1.492, 8.407], [0.000, -2.985, 8.407]], "species": ["Tb", "Tb", "Tb", "Tb", "In", "Ag", "Ag", "Pd"], "frac_coords": [[0.118, 0.118, 0.118], [0.370, 0.370, 0.370], [0.630, 0.630, 0.630], [0.882, 0.882, 0.882], [0.500, 0.500, 0.500], [0.242, 0.242, 0.242], [0.758, 0.758, 0.758], [0.000, 0.000, 0.000]], "final_energy_ev_per_atom": -4.519, "ef_mev_per_atom": -500, "total_magnetization_mub_per_atom": 0.000, "spacegroup": "R-3m, No. 166"}

Entry 2:
{"formula": "Tb3Ho7", "functional": "GGA-PBE", "state": "optimized geometry", "cell": [[8.988, -2.489, 0.000], [8.988, 2.489, 0.000], [-1.386, 0.000, 6.931]], "species": ["Tb", "Tb", "Tb", "Ho", "Ho", "Ho", "Ho", "Ho", "Ho", "Ho"], "frac_coords": [[0.000, 0.000, 0.000], [0.200, 0.200, 0.600], [0.800, 0.800, 0.400], [0.000, 0.000, 0.500], [0.200, 0.200, 0.100], [0.400, 0.400, 0.200], [0.400, 0.400, 0.700], [0.600, 0.600, 0.300], [0.600, 0.600, 0.800], [0.800, 0.800, 0.900]], "final_energy_ev_per_atom": -4.578, "de_polymorph_mev_per_atom": 0, "ef_mev_per_atom": 16, "total_magnetization_mub_per_atom": 0.000, "spacegroup": "C2/m, No. 12"}

Entry 3:
{"formula": "Er2Si4NiRh3", "functional": "GGA-PBE", "state": "optimized geometry", "cell": [[4.030, 0.000, 0.000], [0.000, 4.030, 0.000], [0.000, 0.000, 9.981]], "species": ["Er", "Er", "Si", "Si", "Si", "Si", "Ni", "Rh", "Rh", "Rh"], "frac_coords": [[0.000, 0.500, 0.248], [0.500, 0.000, 0.752], [0.000, 0.000, 0.000], [0.000, 0.500, 0.630], [0.500, 0.000, 0.370], [0.500, 0.500, 0.000], [0.000, 0.000, 0.500], [0.000, 0.500, 0.868], [0.500, 0.000, 0.132], [0.500, 0.500, 0.500]], "final_energy_ev_per_atom": -6.824, "total_magnetization_mub_per_atom": 0.000, "spacegroup": "P-4m2, No. 115"}

Entry 4:
{"formula": "Tb12Er2Th", "functional": "GGA-PBE", "state": "optimized geometry", "cell": [[6.584, 0.000, 0.000], [2.810, 5.956, 0.000], [2.358, 1.484, 24.387]], "species": ["Tb", "Tb", "Tb", "Tb", "Tb", "Tb", "Tb", "Tb", "Tb", "Tb", "Tb", "Tb", "Tb", "Tb", "Tb", "Tb", "Tb", "Tb", "Tb", "Tb", "Tb", "Tb", "Tb", "Tb", "Er", "Er", "Er", "Er", "Th", "Th"], "frac_coords": [[0.043, 0.046, 0.297], [0.088, 0.089, 0.167], [0.135, 0.636, 0.958], [0.149, 0.148, 0.908], [0.217, 0.216, 0.634], [0.232, 0.731, 0.572], [0.267, 0.769, 0.428], [0.284, 0.285, 0.361], [0.353, 0.354, 0.088], [0.363, 0.866, 0.042], [0.422, 0.420, 0.833], [0.444, 0.442, 0.703], [0.556, 0.558, 0.297], [0.578, 0.580, 0.167], [0.637, 0.134, 0.958], [0.647, 0.646, 0.912], [0.716, 0.715, 0.639], [0.733, 0.231, 0.572], [0.768, 0.269, 0.428], [0.783, 0.784, 0.366], [0.851, 0.852, 0.092], [0.865, 0.364, 0.042], [0.912, 0.911, 0.833], [0.957, 0.954, 0.703], [0.065, 0.571, 0.230], [0.431, 0.933, 0.770], [0.569, 0.067, 0.230], [0.935, 0.429, 0.770], [0.251, 0.250, 0.499], [0.749, 0.750, 0.501]], "final_energy_ev_per_atom": -4.754, "ef_mev_per_atom": 53, "total_magnetization_mub_per_atom": 0.000, "spacegroup": "P-1, No. 2"}

Entry 5:
{"formula": "AsPb2Br", "functional": "GGA-PBE", "state": "optimized geometry", "cell": [[2.176, 1.257, 7.840], [-2.176, 1.257, 7.840], [0.000, -2.513, 7.840]], "species": ["As", "Pb", "Pb", "Br"], "frac_coords": [[0.000, 0.000, 0.000], [0.399, 0.399, 0.399], [0.594, 0.594, 0.594], [0.177, 0.177, 0.177]], "final_energy_ev_per_atom": -3.807, "de_polymorph_mev_per_atom": 25, "total_magnetization_mub_per_atom": 0.000, "spacegroup": "R3m, No. 160"}

Entry 6:
{"formula": "RhCl3", "functional": "GGA-PBE", "state": "optimized geometry", "cell": [[-4.193, 4.193, 2.497], [4.193, -4.193, 2.497], [4.193, 4.193, -2.497]], "species": ["Rh", "Rh", "Cl", "Cl", "Cl", "Cl", "Cl", "Cl"], "frac_coords": [[0.000, 0.000, 0.000], [0.750, 0.250, 0.500], [0.250, 0.750, 0.500], [0.375, 0.240, 0.365], [0.500, 0.500, 0.000], [0.760, 0.125, 0.135], [0.875, 0.010, 0.635], [0.990, 0.625, 0.865]], "final_energy_ev_per_atom": -3.379, "total_magnetization_mub_per_atom": 0.000, "spacegroup": "I-42d, No. 122"}